Entry from Alexandria via LeMat-Bulk: an optimized crystal structure of Li3Sc3GaS8 (PBE).

Summary:
* SG: R-3m
* electronic total energy: -5.476 eV/atom
* M_tot: 0.000 μB/f.u.
* calculated volume: 18.8 Å³ per atom
* E_form (uncorrected): -1.4234 eV per atom

abc: 7.415 7.415 7.415
angles: 59.14 59.14 59.14
Atoms (fractional coordinates):
Li 0.000 0.500 0.500
Li 0.500 0.000 0.500
Li 0.500 0.500 0.000
Sc 0.000 0.000 0.500
Sc 0.000 0.500 0.000
Sc 0.500 0.000 0.000
Ga 0.500 0.500 0.500
S 0.247 0.247 0.247
S 0.255 0.740 0.740
S 0.260 0.260 0.745
S 0.260 0.745 0.260
S 0.740 0.255 0.740
S 0.740 0.740 0.255
S 0.745 0.260 0.260
S 0.753 0.753 0.753